# 1
4
Lattice="3.0537 0.0000 0.0000 0.0000 3.0534 0.0000 0.0000 0.0000 5.8348" Properties=species:S:1:pos:R:3 comment="Mn2TcW | Alexandria via LeMat-Bulk | PBE | relaxed" sg="P4mm (99)" e_above_lowest_polymorph_mev_per_atom=7 dos_at_fermi_per_ev_cell=3.724 e_form_mev_per_atom=74 final_energy_ev_per_atom=-10.34 pbc="T T T"
Mn 0.0000 0.0000 0.0200
Mn 1.5268 1.5267 1.4129
Tc 0.0000 0.0000 2.8549
W 1.5268 1.5267 4.4644

***

# 2
8
Lattice="-6.8543 0.0737 1.0269 0.9264 -2.5741 6.3685 -2.7916 1.2192 4.6707" Properties=species:S:1:pos:R:3 comment="MnTcW2 | Alexandria via LeMat-Bulk | PBE | relaxed" sg="I-42d (122)" e_above_lowest_polymorph_mev_per_atom=784 dos_at_fermi_per_ev_cell=8.187 e_form_mev_per_atom=858 final_energy_ev_per_atom=-10.50 pbc="T T T"
Mn -2.9639 -1.2502 3.6977
Mn -2.4146 -1.3025 7.3684
Tc 0.0000 0.0000 0.0000
Tc -6.3049 0.0213 4.6977
W -4.8415 0.0288 2.6019
W -1.0003 -1.2945 5.2800
W -4.3133 -0.0325 6.2992
W -7.2839 -1.2642 9.9512

***

# 3
3
Lattice="4.0549 0.0000 0.0000 2.0274 3.5116 0.0000 2.0274 1.1705 3.3108" Properties=species:S:1:pos:R:3 comment="MnTcW | Alexandria via LeMat-Bulk | PBE | relaxed" sg="F-43m (216)" e_above_lowest_polymorph_mev_per_atom=486 dos_at_fermi_per_ev_cell=3.275 e_form_mev_per_atom=585 final_energy_ev_per_atom=-10.24 pbc="T T T"
Mn 6.0823 3.5116 2.4831
Tc 0.0000 0.0000 0.0000
W 4.0549 2.3411 1.6554

***

# 4
4
Lattice="5.1217 -0.0040 0.0127 -2.3249 4.5636 0.0127 0.4918 0.8018 2.5009" Properties=species:S:1:pos:R:3 comment="MnTc2W | Alexandria via LeMat-Bulk | PBE | relaxed" sg="C2/m (12)" dos_at_fermi_per_ev_cell=3.620 e_form_mev_per_atom=120 final_energy_ev_per_atom=-10.59 pbc="T T T"
Mn -0.9166 2.6827 1.2568
Tc 0.0000 0.0000 0.0000
Tc 1.3984 2.2798 0.0127
W 2.8067 0.3989 1.2568

***

# 5
4
Lattice="-0.8059 4.4495 -1.2066 -2.9831 1.9679 3.0219 3.9570 -2.4219 0.6161" Properties=species:S:1:pos:R:3 comment="Mn2TcW | Alexandria via LeMat-Bulk | PBE | relaxed" sg="I-4m2 (119)" e_above_lowest_polymorph_mev_per_atom=89 dos_at_fermi_per_ev_cell=4.601 e_form_mev_per_atom=155 final_energy_ev_per_atom=-10.26 pbc="T T T"
Mn 0.0000 0.0000 0.0000
Mn -0.4603 1.3773 2.2728
Tc -1.8945 3.2087 0.9077
W 0.6283 2.6181 0.1586

***

# 6
4
Lattice="-2.4675 -1.7524 -0.7066 1.8859 -2.2123 -1.0990 0.2239 -2.4963 5.4092" Properties=species:S:1:pos:R:3 comment="MnTc2W | Alexandria via LeMat-Bulk | PBE | relaxed" sg="P4mm (99)" dos_at_fermi_per_ev_cell=4.515 e_form_mev_per_atom=122 final_energy_ev_per_atom=-10.59 pbc="T T T"
Mn -0.1218 -3.8670 3.1809
Tc 0.2192 -2.4442 5.2963
Tc -0.2337 -2.6192 0.4771
W 0.1144 -1.2751 2.7630

***

# 7
4
Lattice="4.3768 0.0000 0.0000 0.0000 2.6885 -0.0003 0.0000 0.8774 5.0575" Properties=species:S:1:pos:R:3 comment="MnTcW2 | Alexandria via LeMat-Bulk | PBE | relaxed" sg="Pm (6)" e_above_lowest_polymorph_mev_per_atom=33 dos_at_fermi_per_ev_cell=3.194 e_form_mev_per_atom=107 final_energy_ev_per_atom=-11.25 pbc="T T T"
Mn 0.0000 1.7379 2.4873
Tc 2.1884 2.7083 3.7975
W 0.0000 0.8896 5.0282
W 2.1884 0.8904 1.3304

***

# 8
6
Lattice="0.0000 3.5924 3.5924 3.5924 0.0000 3.5924 3.5924 3.5924 0.0000" Properties=species:S:1:pos:R:3 comment="MnTc4W | Alexandria via LeMat-Bulk | PBE | relaxed" sg="F-43m (216)" dos_at_fermi_per_ev_cell=5.857 e_form_mev_per_atom=284 final_energy_ev_per_atom=-10.31 pbc="T T T"
Mn 0.0000 0.0000 0.0000
Tc 2.6866 4.4981 4.4981
Tc 4.4981 4.4981 2.6866
Tc 4.4981 2.6866 4.4981
Tc 2.6866 2.6866 2.6866
W 5.3886 5.3886 5.3886

***

# 9
4
Lattice="-1.2639 -1.4625 -2.5259 -2.2686 -2.5155 2.5917 -3.2004 2.8413 -0.0437" Properties=species:S:1:pos:R:3 comment="MnTc2W | Alexandria via LeMat-Bulk | PBE | relaxed" sg="Pmmm (47)" dos_at_fermi_per_ev_cell=3.514 e_form_mev_per_atom=133 final_energy_ev_per_atom=-10.58 pbc="T T T"
Mn -2.7345 0.1629 1.2740
Tc 0.0000 0.0000 0.0000
Tc -1.7663 -1.9890 0.0329
W -2.2322 0.6894 -1.2848

***

# 10
4
Lattice="3.1558 0.0000 0.0000 0.0000 4.3931 0.0000 0.0000 0.0000 4.3044" Properties=species:S:1:pos:R:3 comment="MnTcW2 | Alexandria via LeMat-Bulk | PBE | relaxed" sg="Pmmm (47)" e_above_lowest_polymorph_mev_per_atom=0 dos_at_fermi_per_ev_cell=3.097 e_form_mev_per_atom=74 final_energy_ev_per_atom=-11.29 pbc="T T T"
Mn 1.5779 0.0000 2.1522
Tc 0.0000 2.1966 2.1522
W 0.0000 0.0000 0.0000
W 1.5779 2.1966 0.0000

***

# 11
4
Lattice="4.7429 0.0090 0.0000 1.5923 4.4676 0.0000 -3.1676 -2.2383 2.7297" Properties=species:S:1:pos:R:3 comment="MnTc2W | Alexandria via LeMat-Bulk | PBE | relaxed" sg="I-4m2 (119)" dos_at_fermi_per_ev_cell=4.242 e_form_mev_per_atom=141 final_energy_ev_per_atom=-10.57 pbc="T T T"
Mn 2.3714 0.0045 1.3649
Tc 0.0000 0.0000 0.0000
Tc 0.7961 2.2338 1.3649
W 3.1676 2.2383 0.0000

***

# 12
4
Lattice="-2.9293 1.5250 -3.3519 0.4898 -4.6570 -0.4624 -2.1451 -0.3940 1.6954" Properties=species:S:1:pos:R:3 comment="MnTc2W | Alexandria via LeMat-Bulk | PBE | relaxed" sg="Cmmm (65)" dos_at_fermi_per_ev_cell=4.299 e_form_mev_per_atom=187 final_energy_ev_per_atom=-10.53 pbc="T T T"
Mn -0.8276 -2.5255 0.6165
Tc 0.0000 0.0000 0.0000
Tc -1.2197 -1.5660 -1.9072
W -2.5372 0.5655 -0.8283

***

# 13
4
Lattice="4.7250 -0.0011 0.0051 3.9238 2.6324 0.0051 0.8307 0.2527 4.6312" Properties=species:S:1:pos:R:3 comment="MnTc2W | Alexandria via LeMat-Bulk | PBE | relaxed" sg="Cm (8)" dos_at_fermi_per_ev_cell=4.255 e_form_mev_per_atom=171 final_energy_ev_per_atom=-10.54 pbc="T T T"
Mn 2.4003 0.7302 1.1440
Tc 8.6009 2.6167 0.0216
Tc 7.0897 2.1569 3.5343
W 4.7769 1.4533 2.2724

***

# 14
4
Lattice="3.0473 0.0000 0.0000 0.0000 3.0455 0.0000 0.0000 0.0000 5.8683" Properties=species:S:1:pos:R:3 comment="Mn2TcW | Alexandria via LeMat-Bulk | PBE | relaxed" sg="P4/mmm (123)" e_above_lowest_polymorph_mev_per_atom=74 dos_at_fermi_per_ev_cell=3.959 e_form_mev_per_atom=141 final_energy_ev_per_atom=-10.27 pbc="T T T"
Mn 0.0000 0.0000 5.8679
Mn 0.0000 0.0000 2.9346
Tc 1.5236 1.5228 1.4670
W 1.5236 1.5228 4.4013

***

# 15
12
Lattice="-4.4195 1.5067 0.0333 0.9790 -4.3322 -1.4411 -0.8239 -2.5755 7.1828" Properties=species:S:1:pos:R:3 comment="Mn8Tc3W | Alexandria via LeMat-Bulk | PBE | relaxed" sg="P3m1 (156)" dos_at_fermi_per_ev_cell=8.841 e_form_mev_per_atom=-91 final_energy_ev_per_atom=-9.88 pbc="T T T"
Mn -1.2336 -3.6771 2.6512
Mn -0.8212 -2.3881 -0.9437
Mn -2.8453 -1.2297 5.3973
Mn -2.3751 -3.3105 4.7051
Mn -4.4979 -2.5869 4.7211
Mn -0.5996 -1.7881 1.3326
Mn -0.0911 -4.0383 0.5841
Mn -2.3866 -3.2558 0.6013
Tc -2.9747 -1.5483 2.6336
Tc -2.6762 -0.6151 0.0311
Tc -0.7686 -2.4027 6.7006
W -0.4648 -1.4529 4.0520